Here is an optimized crystal structure of CrCdIn2Re from the Alexandria database. Energies are from PBE.

Cell: 5.3073 4.6404 5.3073 Å, 90.00 90.00 90.00°
Site moments in Bohr magnetons follow the coordinates.
Positions (direct):
Re 0.0000 0.0000 0.0000  -0.56
Cd 0.5000 0.5000 0.5000  -0.02
Cr 0.0000 0.5000 0.0000  2.85
In 0.0000 0.0000 0.5000  -0.03
In 0.5000 0.0000 0.0000  0.00

DOS at the Fermi energy: 2.95 states/eV/cell
ΔE_f: 3.89 eV per formula unit
Space-group type: P4/mmm (123)
Calculated density: 7372 kg/m3